Entry 1:
Compound: Rb2InReF6
Source: the Alexandria database
Functional: PBE
Structure: relaxed

```
Rb2InReF6
1.0
-3.287 3.287 4.669
3.287 -3.287 4.669
3.287 3.287 -4.669
Rb In Re F
2 1 1 6
direct
0.250 0.750 0.500
0.750 0.250 0.500
0.000 0.000 0.000
0.500 0.500 0.000
0.276 0.276 0.000
0.279 0.279 0.558
0.279 0.721 0.000
0.721 0.279 0.000
0.721 0.721 0.442
0.724 0.724 0.000
```

Properties
- crystal system = tetragonal
- total magnetization (μB/cell) = 2.0
- N(E_F) (states/eV/f.u.) = 7.05
- uncorrected formation energy (eV/f.u.) = -20.530
- final energy (eV/atom) = -4.89



Entry 2:
Compound: RbInRhF2
Source: the Alexandria database
Functional: PBE
Structure: relaxed

```
RbInRhF2
1.0
4.430 0.000 0.000
0.000 4.430 0.000
0.000 0.000 7.958
Rb In Rh F
1 1 1 2
direct
0.000 0.000 0.000
0.000 0.000 0.500
0.500 0.500 0.000
0.000 0.500 0.500
0.500 0.000 0.500
```

Properties
- crystal system = tetragonal
- total magnetization (μB/cell) = 1.0
- N(E_F) (states/eV/f.u.) = 3.24
- uncorrected formation energy (eV/f.u.) = -2.125
- final energy (eV/atom) = -3.39



Entry 3:
Compound: Rb2InRuF6
Source: the Alexandria database
Functional: PBE
Structure: relaxed

```
Rb2InRuF6
1.0
0.000 4.591 4.591
4.591 0.000 4.591
4.591 4.591 0.000
Rb In Ru F
2 1 1 6
direct
0.250 0.250 0.250
0.750 0.750 0.750
0.000 0.000 0.000
0.500 0.500 0.500
0.278 0.278 0.722
0.278 0.722 0.278
0.278 0.722 0.722
0.722 0.278 0.278
0.722 0.278 0.722
0.722 0.722 0.278
```

Properties
- crystal system = cubic
- total magnetization (μB/cell) = 1.0
- N(E_F) (states/eV/f.u.) = 1.31
- uncorrected formation energy (eV/f.u.) = -21.057
- final energy (eV/atom) = -4.62



Entry 4:
Compound: Rb2InSbF6
Source: the Alexandria database
Functional: PBE
Structure: relaxed

```
Rb2InSbF6
1.0
0.000 4.805 4.805
4.805 0.000 4.805
4.805 4.805 0.000
Rb In Sb F
2 1 1 6
direct
0.250 0.250 0.250
0.750 0.750 0.750
0.000 0.000 0.000
0.500 0.500 0.500
0.270 0.270 0.730
0.270 0.730 0.270
0.270 0.730 0.730
0.730 0.270 0.270
0.730 0.270 0.730
0.730 0.730 0.270
```

Properties
- crystal system = cubic
- total magnetization (μB/cell) = 0.0
- N(E_F) (states/eV/f.u.) = 0.00
- uncorrected formation energy (eV/f.u.) = -23.688
- final energy (eV/atom) = -4.37



Entry 5:
Compound: RbInSbF2
Source: the Alexandria database
Functional: PBE
Structure: relaxed

```
RbInSbF2
1.0
4.722 0.000 0.000
0.000 4.722 0.000
0.000 0.000 7.353
Rb In Sb F
1 1 1 2
direct
0.000 0.000 0.000
0.500 0.500 0.000
0.000 0.000 0.500
0.000 0.500 0.500
0.500 0.000 0.500
```

Properties
- crystal system = tetragonal
- E above lowest polymorph (kJ/mol of formula units) = 0
- total magnetization (μB/cell) = 0.0
- N(E_F) (states/eV/f.u.) = 4.07
- uncorrected formation energy (eV/f.u.) = -3.909
- final energy (eV/atom) = -3.10



Entry 6:
Compound: RbInSbF2
Source: the Alexandria database
Functional: PBE
Structure: relaxed

```
RbInSbF2
1.0
4.892 0.000 0.000
0.000 4.892 0.000
0.000 0.000 6.180
Rb In Sb F
1 1 1 2
direct
0.000 0.000 0.000
0.000 0.000 0.500
0.500 0.500 0.500
0.000 0.500 0.000
0.500 0.000 0.000
```

Properties
- crystal system = tetragonal
- E above lowest polymorph (kJ/mol of formula units) = 41
- total magnetization (μB/cell) = 0.0
- N(E_F) (states/eV/f.u.) = 3.59
- uncorrected formation energy (eV/f.u.) = -3.487
- final energy (eV/atom) = -3.01